VASP calculation (PBE) on a geometry-optimized SrTlCd2Rh structure.

## Properties
- M_tot: 0.00 μB/f.u.
- Excess energy over the best structure of this formula in the dataset: 0.123 eV per atom
- ΔH_f (0 K): -0.058 eV per atom

Cell: 5.266 5.266 5.543 Å, 90.00 90.00 90.00°
Space group P4/mmm (No. 123)
One atom of each set of equivalent atoms:
1 Sr 0.000 0.000 0.000
2 Tl 0.500 0.500 0.000
3 Cd 0.000 0.500 0.500
4 Rh 0.000 0.000 0.500